1.
Computed, not measured: an optimized crystal structure of AcAsPbAu at the PBE-GGA level of DFT.

Cell: 5.349 5.349 5.349 Å, 60.00 60.00 60.00°
Element x y z (fractional)
Pb 0.500 0.500 0.500
Ac 0.000 0.000 0.000
Au 0.750 0.750 0.750
As 0.250 0.250 0.250

SG = F-43m (216)
total energy = -18.11 eV/f.u.
energy relative to the elements = -2.37 eV/f.u.

2.
Computed, not measured: an optimized crystal structure of AcAsPd6Au at the PBE-GGA level of DFT.

Cell: 6.889 9.028 8.005 Å, 124.33 115.49 90.00°
Element x y z (fractional)
Ac 0.716 0.466 0.432
Ac 0.284 0.534 0.568
As 0.500 0.500 0.000
As 0.500 0.000 0.000
Pd 0.570 0.820 0.141
Pd 0.007 0.257 0.014
Pd 0.924 0.129 0.248
Pd 0.324 0.619 0.248
Pd 0.324 0.129 0.248
Pd 0.924 0.619 0.248
Pd 0.430 0.180 0.859
Pd 0.993 0.743 0.986
Pd 0.076 0.871 0.752
Pd 0.676 0.381 0.752
Pd 0.676 0.871 0.752
Pd 0.076 0.381 0.752
Au 0.500 0.000 0.500
Au 0.000 0.000 0.500

SG = Imma (74)
total energy = -45.62 eV/f.u.
energy relative to the elements = -2.43 eV/f.u.

3.
Computed, not measured: an optimized crystal structure of AcAsPd2Au2 at the PBE-GGA level of DFT.

Cell: 4.730 4.730 6.085 Å, 90.00 90.00 90.00°
Element x y z (fractional)
Ac 0.000 0.000 0.500
As 0.000 0.000 0.000
Pd 0.500 0.000 0.000
Pd 0.000 0.500 0.000
Au 0.500 0.500 0.724
Au 0.500 0.500 0.276

SG = P4/mmm (123)
total energy = -28.86 eV/f.u.
energy relative to the elements = -3.16 eV/f.u.

4.
Computed, not measured: an optimized crystal structure of Ac2As4Pd3Au at the PBE-GGA level of DFT.

Cell: 4.598 4.598 10.110 Å, 90.00 90.00 90.00°
Element x y z (fractional)
Ac 0.500 0.000 0.247
Ac 0.000 0.500 0.753
As 0.500 0.500 0.000
As 0.000 0.000 0.000
As 0.500 0.000 0.636
As 0.000 0.500 0.364
Pd 0.000 0.000 0.500
Pd 0.500 0.000 0.887
Pd 0.000 0.500 0.113
Au 0.500 0.500 0.500

SG = P-4m2 (115)
total energy = -54.26 eV/f.u.
energy relative to the elements = -8.59 eV/f.u.

| no. | density of states at the Fermi level (states/eV per atom) |
| --- | --- |
| 1 | 0.57 |
| 2 | 0.51 |
| 3 | 0.21 |
| 4 | 0.46 |